a | Density functional theory data (SCAN) for a PBEsol-optimized structure of ZnAgCl.

a b c (Å): 4.5377 4.5377 4.5377
angles (deg): 60.00 60.00 60.00
With the nearest neighbours (Å) after each atom.
Fractional coordinates of all 3 atoms:
Zn1 0.0000 0.0000 0.0000  4 Cl 2.78
Cl1 0.7500 0.7500 0.7500  4 Zn 2.78, 4 Ag 2.78
Ag1 0.5000 0.5000 0.5000  4 Cl 2.78

Calculated values
Its space-group type is No. 216. The density is 5.2 g cm⁻³. Its crystal system is cubic.

***

b | Density functional theory data (SCAN) for a PBEsol-optimized structure of ZnAgCl.

a b c (Å): 3.0843 3.0843 5.9723
angles (deg): 104.96 104.96 90.00
With the nearest neighbours (Å) after each atom.
Fractional coordinates of all 3 atoms:
Zn1 0.3353 0.3353 0.6706  4 Ag 2.70, 4 Cl 2.74
Cl1 0.6863 0.6863 0.3726  4 Zn 2.74
Ag1 0.9784 0.9784 0.9568  4 Zn 2.70

Calculated values
Its space-group type is No. 107. The density is 6.6 g cm⁻³. Its crystal system is tetragonal.

***

c | Density functional theory data (SCAN) for a PBEsol-optimized structure of ZnAgCl.

a b c (Å): 3.3084 3.3084 5.6816
angles (deg): 90.00 90.00 120.00
With the nearest neighbours (Å) after each atom.
Fractional coordinates of all 3 atoms:
Ag1 0.0000 0.0000 0.0279  3 Zn 2.60
Cl1 0.6667 0.3333 0.6340  3 Zn 2.54
Zn1 0.3333 0.6667 0.3381  3 Cl 2.54, 3 Ag 2.60

Calculated values
Its space-group type is No. 156. The density is 6.4 g cm⁻³. Its crystal system is trigonal.

***

Quick one: least stable of them? a

***

a | Density functional theory data (SCAN) for a PBEsol-optimized structure of CoAg5.

a b c (Å): 5.2510 5.2510 5.2510
angles (deg): 60.00 60.00 60.00
With the nearest neighbours (Å) after each atom.
Fractional coordinates of all 6 atoms:
Ag1 0.3748 0.3748 0.8755  6 Ag 2.62-2.63
Ag2 0.3748 0.3748 0.3748  6 Ag 2.62-2.63
Ag3 0.3748 0.8755 0.3748  6 Ag 2.62-2.63
Ag4 0.8755 0.3748 0.3748  6 Ag 2.62-2.63
Ag5 0.7500 0.7500 0.7500  12 Ag 3.08, 4 Co 3.22
Co1 0.0000 0.0000 0.0000  16 Ag 3.08-3.22

Calculated values
Its space-group type is No. 216. The density is 9.7 g cm⁻³. Its crystal system is cubic.

***

b | Density functional theory data (SCAN) for a PBEsol-optimized structure of CoAg5.

a b c (Å): 4.6395 5.2059 5.2059
angles (deg): 120.00 90.00 90.00
With the nearest neighbours (Å) after each atom.
Fractional coordinates of all 6 atoms:
Ag1 0.0000 0.3333 0.6667  9 Ag 2.76-3.01, 3 Co 3.01
Ag2 0.5000 0.5000 0.0000  8 Ag 2.60-2.76
Ag3 0.5000 0.5000 0.5000  8 Ag 2.60-2.76
Ag4 0.5000 0.0000 0.5000  8 Ag 2.60-2.76
Ag5 0.0000 0.6667 0.3333  9 Ag 2.76-3.01, 3 Co 3.01
Co1 0.0000 0.0000 0.0000  6 Ag 3.01

Calculated values
Its space-group type is No. 191. The density is 9.1 g cm⁻³. Its crystal system is hexagonal.

***

Quick one: least stable of them? b

***

a | Density functional theory data (SCAN) for a PBEsol-optimized structure of CoCuAg2.

a b c (Å): 4.2948 4.2948 4.2948
angles (deg): 60.00 60.00 60.00
With the nearest neighbours (Å) after each atom.
Fractional coordinates of all 4 atoms:
Ag1 0.7500 0.7500 0.7500  4 Co 2.63, 4 Ag 2.63
Ag2 0.0000 0.0000 0.0000  4 Cu 2.63, 4 Ag 2.63
Cu1 0.2500 0.2500 0.2500  4 Co 2.63, 4 Ag 2.63
Co1 0.5000 0.5000 0.5000  4 Cu 2.63, 4 Ag 2.63

Calculated values
Its space-group type is No. 216. The density is 10.0 g cm⁻³. Its crystal system is cubic.

***

b | Density functional theory data (SCAN) for a PBEsol-optimized structure of CoCuAg2.

a b c (Å): 2.6813 3.7612 5.4881
angles (deg): 90.00 90.00 90.00
With the nearest neighbours (Å) after each atom.
Fractional coordinates of all 4 atoms:
Ag1 0.0000 0.0000 0.7512  4 Ag 2.68-2.76, 4 Co 2.68, 4 Cu 2.69
Ag2 0.0000 0.0000 0.2488  4 Ag 2.68-2.76, 4 Co 2.68, 4 Cu 2.69
Cu1 0.5000 0.5000 0.5000  2 Cu 2.68, 8 Ag 2.69, 2 Co 2.74
Co1 0.5000 0.5000 0.0000  2 Co 2.68, 8 Ag 2.68, 2 Cu 2.74

Calculated values
Its space-group type is No. 47. The density is 10.1 g cm⁻³. Its crystal system is orthorhombic.

***

Quick one: least stable of them? b

***

a | Density functional theory data (SCAN) for a PBEsol-optimized structure of CoCu2Ag.

a b c (Å): 2.6161 2.6161 8.6057
angles (deg): 81.26 81.26 60.00
With the nearest neighbours (Å) after each atom.
Fractional coordinates of all 4 atoms:
Cu1 0.9996 0.9996 0.0011  3 Co 2.48, 9 Cu 2.50-2.62
Cu2 0.7448 0.7448 0.7657  9 Cu 2.50-2.62, 3 Ag 2.71
Co1 0.2555 0.2555 0.2336  3 Cu 2.48, 6 Co 2.62, 3 Ag 2.71
Ag1 0.5002 0.5002 0.4995  6 Ag 2.62, 3 Co 2.71, 3 Cu 2.71

Calculated values
Its space-group type is No. 160. The density is 9.7 g cm⁻³. Its crystal system is trigonal.

***

b | Density functional theory data (SCAN) for a PBEsol-optimized structure of CoCu2Ag.

a b c (Å): 2.6764 4.3242 4.3620
angles (deg): 90.00 90.00 90.00
With the nearest neighbours (Å) after each atom.
Fractional coordinates of all 4 atoms:
Co1 0.0000 0.5000 0.5000  4 Cu 2.54, 4 Ag 2.56, 2 Co 2.68
Ag1 0.5000 0.5000 0.0000  4 Cu 2.54, 4 Co 2.56, 2 Ag 2.68
Cu1 0.5000 0.0000 0.5000  4 Co 2.54, 6 Cu 2.56-2.68
Cu2 0.0000 0.0000 0.0000  4 Ag 2.54, 6 Cu 2.56-2.68

Calculated values
Its space-group type is No. 47. The density is 9.7 g cm⁻³. Its crystal system is orthorhombic.

***

Quick one: least stable of them? b

***

a | Density functional theory data (SCAN) for a PBEsol-optimized structure of CoAgIr2.

a b c (Å): 2.7066 2.7066 7.5281
angles (deg): 90.00 90.00 90.00
With the nearest neighbours (Å) after each atom.
Fractional coordinates of all 4 atoms:
Ir1 0.5000 0.5000 0.2329  8 Ir 2.67-2.71, 4 Ag 2.85
Ir2 0.0000 0.0000 0.9865  4 Co 2.53, 8 Ir 2.67-2.71
Co1 0.5000 0.5000 0.7671  4 Ir 2.53, 4 Ag 2.70, 4 Co 2.71
Ag1 0.0000 0.0000 0.5135  4 Co 2.70, 4 Ag 2.71, 4 Ir 2.85

Calculated values
Its space-group type is No. 99. The density is 16.6 g cm⁻³. Its crystal system is tetragonal.

***

b | Density functional theory data (SCAN) for a PBEsol-optimized structure of CoAgIr2.

a b c (Å): 2.6599 4.4611 4.7713
angles (deg): 90.00 94.09 90.00
With the nearest neighbours (Å) after each atom.
Fractional coordinates of all 4 atoms:
Ir1 0.2089 0.0000 0.2649  5 Ir 2.57-2.69, 2 Co 2.58, 2 Ag 2.70
Ir2 0.7911 0.0000 0.7351  5 Ir 2.57-2.69, 2 Co 2.58, 2 Ag 2.70
Co1 0.0000 0.5000 0.5000  4 Ir 2.58, 4 Ag 2.65-2.81, 2 Co 2.66
Ag1 0.5000 0.5000 0.0000  4 Co 2.65-2.81, 2 Ag 2.66, 4 Ir 2.70

Calculated values
Its space-group type is No. 10. The density is 16.2 g cm⁻³. Its crystal system is monoclinic.

***

c | Density functional theory data (SCAN) for a PBEsol-optimized structure of CoAgIr2.

a b c (Å): 3.7811 3.7811 3.8349
angles (deg): 90.00 90.00 90.00
With the nearest neighbours (Å) after each atom.
Fractional coordinates of all 4 atoms:
Ir1 0.5000 0.0000 0.0000  4 Ir 2.67, 4 Co 2.69, 4 Ag 2.69
Ir2 0.0000 0.5000 0.0000  4 Ir 2.67, 4 Co 2.69, 4 Ag 2.69
Ag1 0.5000 0.5000 0.5000  4 Co 2.67, 8 Ir 2.69
Co1 0.0000 0.0000 0.5000  4 Ag 2.67, 8 Ir 2.69

Calculated values
Its space-group type is No. 123. The density is 16.7 g cm⁻³. Its crystal system is tetragonal.

***

Quick one: least stable of them? c

***

a | Density functional theory data (SCAN) for a PBEsol-optimized structure of CoAgIr2.

a b c (Å): 2.6661 2.6661 7.6775
angles (deg): 90.00 90.00 90.00
With the nearest neighbours (Å) after each atom.
Fractional coordinates of all 4 atoms:
Ir1 0.0000 0.0000 0.7184  4 Co 2.52, 4 Ir 2.67
Ir2 0.0000 0.0000 0.2816  4 Co 2.52, 4 Ir 2.67
Co1 0.5000 0.5000 0.5000  8 Ir 2.52, 4 Co 2.67
Ag1 0.5000 0.5000 0.0000  4 Ag 2.67, 8 Ir 2.87

Calculated values
Its space-group type is No. 123. The density is 16.8 g cm⁻³. Its crystal system is tetragonal.

***

b | Density functional theory data (SCAN) for a PBEsol-optimized structure of CoAgIr2.

a b c (Å): 2.6896 2.6896 8.9558
angles (deg): 81.36 81.36 60.00
With the nearest neighbours (Å) after each atom.
Fractional coordinates of all 4 atoms:
Ag1 0.5000 0.5000 0.5000  6 Ag 2.69, 6 Ir 2.86
Ir1 0.2576 0.2576 0.2271  3 Co 2.53, 6 Ir 2.69
Ir2 0.7424 0.7424 0.7729  3 Co 2.53, 6 Ir 2.69
Co1 0.0000 0.0000 0.0000  6 Ir 2.53, 6 Co 2.69

Calculated values
Its space-group type is No. 166. The density is 16.6 g cm⁻³. Its crystal system is trigonal.

***

Quick one: least stable of them? a